! BaMg3Rh (PBE, relaxed); values from VASP
! * excess energy over the best structure of this formula in the dataset: 2032 meV/atom
! * ΔE_f: 1753 meV/atom
! * space-group type: Pm-3m (221)
&SYSTEM
  ibrav = 0, nat = 5, ntyp = 3
/
ATOMIC_SPECIES
Mg 24.30 Mg.upf
Rh 102.91 Rh.upf
Ba 137.33 Ba.upf
ATOMIC_POSITIONS crystal
Mg 0.000 0.500 0.000
Mg 0.000 0.000 0.500
Mg 0.500 0.000 0.000
Rh 0.500 0.500 0.500
Ba 0.000 0.000 0.000
CELL_PARAMETERS angstrom
6.063 0.000 0.000
0.000 6.063 0.000
0.000 0.000 6.063

=====

! Sc8Ti (PBE, relaxed); values from VASP
! * ΔE_f: 71 meV/atom
! * space-group type: I4/mmm (139)
&SYSTEM
  ibrav = 0, nat = 9, ntyp = 2
/
ATOMIC_SPECIES
Sc 44.96 Sc.upf
Ti 47.87 Ti.upf
ATOMIC_POSITIONS crystal
Sc 0.340 0.000 0.320
Sc 0.660 0.000 0.680
Sc 0.660 0.680 0.000
Sc 0.000 0.674 0.326
Sc 0.326 0.674 0.674
Sc 0.674 0.326 0.326
Sc 0.000 0.326 0.674
Sc 0.340 0.320 0.000
Ti 0.000 0.000 0.000
CELL_PARAMETERS angstrom
-2.720 -1.213 -3.408
-6.247 -2.263 2.786
-3.811 5.771 -2.018

=====

! SrH6CI3N3 (PBE, relaxed); values from VASP
! * space-group type: P2_1/c (14)
! * VASP energy: -4.98 eV/atom
&SYSTEM
  ibrav = 0, nat = 56, ntyp = 5
/
ATOMIC_SPECIES
I 126.90 I.upf
Sr 87.62 Sr.upf
C 12.01 C.upf
N 14.01 N.upf
H 1.01 H.upf
ATOMIC_POSITIONS crystal
I 0.599 0.217 0.149
I 0.401 0.783 0.851
I 0.401 0.717 0.351
I 0.599 0.283 0.649
I 0.297 0.715 0.099
I 0.703 0.285 0.901
I 0.703 0.215 0.401
I 0.297 0.785 0.599
I 0.197 0.216 0.200
I 0.803 0.784 0.800
I 0.803 0.716 0.300
I 0.197 0.284 0.700
Sr 0.501 0.466 0.251
Sr 0.499 0.534 0.749
Sr 0.499 0.966 0.249
Sr 0.501 0.034 0.751
C 0.167 0.235 0.417
C 0.833 0.765 0.583
C 0.833 0.735 0.083
C 0.167 0.265 0.917
N 0.314 0.237 0.425
N 0.686 0.763 0.575
N 0.686 0.737 0.075
N 0.314 0.263 0.925
N 0.151 0.252 0.482
N 0.849 0.748 0.518
N 0.849 0.752 0.018
N 0.151 0.248 0.982
N 0.036 0.217 0.344
N 0.964 0.783 0.656
N 0.964 0.717 0.156
N 0.036 0.283 0.844
H 0.327 0.227 0.375
H 0.673 0.773 0.625
H 0.673 0.727 0.125
H 0.327 0.273 0.875
H 0.414 0.250 0.480
H 0.586 0.750 0.520
H 0.586 0.750 0.020
H 0.414 0.250 0.980
H 0.040 0.247 0.477
H 0.960 0.753 0.523
H 0.960 0.747 0.023
H 0.040 0.253 0.977
H 0.251 0.262 0.538
H 0.749 0.738 0.462
H 0.749 0.762 0.962
H 0.251 0.238 0.038
H 0.923 0.217 0.337
H 0.077 0.783 0.663
H 0.077 0.717 0.163
H 0.923 0.283 0.837
H 0.047 0.210 0.293
H 0.953 0.790 0.707
H 0.953 0.710 0.207
H 0.047 0.290 0.793
CELL_PARAMETERS angstrom
-0.871 9.495 0.591
-8.053 -0.886 2.373
5.598 -10.063 15.238

=====

! RuS (PBE, relaxed); values from VASP
! * formation energy (no corrections): -88.2 meV per atom
! * space-group type: Cm (8)
&SYSTEM
  ibrav = 0, nat = 4, ntyp = 2
/
ATOMIC_SPECIES
Ru 101.07 Ru.upf
S 32.06 S.upf
ATOMIC_POSITIONS crystal
Ru 0.722 0.000 0.800
Ru 0.722 0.500 0.300
S 0.371 0.000 0.020
S 0.371 0.500 0.520
CELL_PARAMETERS angstrom
4.100 0.000 0.033
0.000 3.110 0.000
-2.372 0.000 5.113

=====

! ScTaVPd2 (PBE, relaxed); values from VASP
! * ΔE_f: 850 meV/atom
! * space-group type: P4/mmm (123)
&SYSTEM
  ibrav = 0, nat = 5, ntyp = 4
/
ATOMIC_SPECIES
Sc 44.96 Sc.upf
V 50.94 V.upf
Pd 106.42 Pd.upf
Ta 180.95 Ta.upf
ATOMIC_POSITIONS crystal
Sc 0.000 0.500 0.000
V 0.000 0.000 0.000
Pd 0.000 0.000 0.500
Pd 0.500 0.000 0.000
Ta 0.500 0.500 0.500
CELL_PARAMETERS angstrom
4.599 0.000 0.000
0.000 4.555 0.000
0.000 0.000 4.599

=====

! AlTcHRu2 (PBE, relaxed); values from VASP
! * space-group type: P4/mmm (123)
! * VASP energy: -7.21 eV/atom
&SYSTEM
  ibrav = 0, nat = 5, ntyp = 4
/
ATOMIC_SPECIES
Ru 101.07 Ru.upf
Tc 98.00 Tc.upf
H 1.01 H.upf
Al 26.98 Al.upf
ATOMIC_POSITIONS crystal
Ru 0.000 0.500 0.000
Ru 0.500 0.000 0.000
Tc 0.000 0.000 0.500
H 0.000 0.000 0.000
Al 0.500 0.500 0.500
CELL_PARAMETERS angstrom
-3.836 0.322 0.889
0.102 -3.552 1.726
0.907 1.639 3.319

=====

! Ta2Al2Sn (PBE, relaxed); values from VASP
! * excess energy over the best structure of this formula in the dataset: 52 meV/atom
! * ΔE_f: 144 meV/atom
! * space-group type: P4/mbm (127)
&SYSTEM
  ibrav = 0, nat = 10, ntyp = 3
/
ATOMIC_SPECIES
Al 26.98 Al.upf
Sn 118.71 Sn.upf
Ta 180.95 Ta.upf
ATOMIC_POSITIONS crystal
Al 0.376 0.876 0.000
Al 0.876 0.624 0.000
Al 0.624 0.124 0.000
Al 0.124 0.376 0.000
Sn 0.000 0.000 0.000
Sn 0.500 0.500 0.000
Ta 0.173 0.673 0.500
Ta 0.673 0.827 0.500
Ta 0.827 0.327 0.500
Ta 0.327 0.173 0.500
CELL_PARAMETERS angstrom
6.996 0.000 0.000
0.000 6.996 0.000
0.000 0.000 3.610

=====

! LaDyEr14 (PBE, relaxed); values from VASP
! * ΔE_f: 11 meV/atom
! * space-group type: Amm2 (38)
&SYSTEM
  ibrav = 0, nat = 16, ntyp = 3
/
ATOMIC_SPECIES
La 138.91 La.upf
Dy 162.50 Dy.upf
Er 167.26 Er.upf
ATOMIC_POSITIONS crystal
La 0.708 0.292 0.500
Dy 0.208 0.792 0.500
Er 0.042 0.958 0.000
Er 0.542 0.458 0.000
Er 0.208 0.292 0.500
Er 0.043 0.458 0.000
Er 0.708 0.792 0.500
Er 0.542 0.957 0.000
Er 0.374 0.124 0.754
Er 0.374 0.124 0.246
Er 0.876 0.626 0.754
Er 0.876 0.626 0.246
Er 0.375 0.625 0.750
Er 0.375 0.625 0.250
Er 0.876 0.124 0.753
Er 0.876 0.124 0.247
CELL_PARAMETERS angstrom
-1.215 -6.952 -0.605
3.690 3.393 -5.005
9.657 -2.178 5.643